Entry 1:
Below is a relaxed structure of YTeOs2, with properties calculated at the GGA-PBE level.

```
4
Lattice="4.579 -1.596 0.000 4.579 1.596 0.000 -0.978 0.000 5.259" Properties=species:S:1:pos:R:3 pbc="T T T"
Y 0.000 0.000 0.000
Te 4.090 0.000 2.630
Os 1.577 0.000 3.771
Os 6.604 0.000 1.489
```

Output
Calculated total energy   -7.633 eV/atom
Density of states at the Fermi level   2.01 states/eV/cell
Space group   C2/m, No. 12
Energy relative to the elements, uncorrected   0.38 eV per atom
Crystal system   monoclinic

Entry 2:
Below is a relaxed structure of AlCrFeSi, with properties calculated at the GGA-PBE level.

```
4
Lattice="0.000 2.879 2.879 2.879 0.000 2.879 2.879 2.879 0.000" Properties=species:S:1:pos:R:3 pbc="T T T"
Al 0.000 0.000 0.000
Cr 1.440 1.440 1.440
Fe 4.319 4.319 4.319
Si 2.879 2.879 2.879
```

Output
Calculated total energy   -7.050 eV/atom
Density of states at the Fermi level   2.16 states/eV/cell
Space group   F-43m, No. 216
Energy relative to the elements, uncorrected   -0.24 eV per atom
Crystal system   cubic

Entry 3:
Below is a relaxed structure of CeHoGe2, with properties calculated at the GGA-PBE level.

```
4
Lattice="4.026 0.000 0.000 0.000 2.175 5.415 0.000 -2.175 5.415" Properties=species:S:1:pos:R:3 pbc="T T T"
Ce 0.000 0.000 0.000
Ho 2.013 0.000 7.860
Ge 0.000 0.000 2.999
Ge 2.013 0.000 4.834
```

Output
Calculated total energy   -5.707 eV/atom
Density of states at the Fermi level   6.63 states/eV/cell
Space group   Amm2, No. 38
E_form   -74.4 kJ per mole of atoms
Crystal system   orthorhombic

Entry 4:
Below is a relaxed structure of TeOsSe2, with properties calculated at the GGA-PBE level.

```
4
Lattice="-2.744 2.744 2.724 2.744 -2.744 2.724 2.744 2.744 -2.724" Properties=species:S:1:pos:R:3 pbc="T T T"
Te 0.000 0.000 0.000
Os 0.000 0.000 2.724
Se 2.744 0.000 0.000
Se 0.000 2.744 0.000
```

Output
Calculated total energy   -4.708 eV/atom
Density of states at the Fermi level   2.39 states/eV/cell
Space group   I4/mmm, No. 139
Energy relative to the elements, uncorrected   0.63 eV per atom
Crystal system   tetragonal

Entry 5:
Below is a relaxed structure of HoUIrOs, with properties calculated at the GGA-PBE level.

```
4
Lattice="0.000 3.409 3.409 3.409 0.000 3.409 3.409 3.409 0.000" Properties=species:S:1:pos:R:3 pbc="T T T"
Ho 0.000 0.000 0.000
U 3.409 3.409 3.409
Ir 1.705 1.705 1.705
Os 5.114 5.114 5.114
```

Output
Calculated total energy   -9.299 eV/atom
Density of states at the Fermi level   8.32 states/eV/cell
Space group   F-43m, No. 216
E_form   -29.9 kJ per mole of atoms
Crystal system   cubic

Entry 6:
Below is a relaxed structure of Rb3CoCl7, with properties calculated at the GGA-PBE level.

```
22
Lattice="9.731 0.000 0.000 0.000 9.731 0.000 0.000 0.000 6.934" Properties=species:S:1:pos:R:3 pbc="T T T"
Rb 0.000 0.000 0.000
Rb 1.725 3.140 3.467
Rb 3.140 8.006 3.467
Rb 4.865 4.865 0.000
Rb 6.590 1.725 3.467
Rb 8.006 6.590 3.467
Co 0.000 4.865 0.000
Co 4.865 0.000 0.000
Cl 0.000 0.000 3.467
Cl 1.118 5.983 1.593
Cl 1.118 5.983 5.341
Cl 1.598 3.268 0.000
Cl 3.268 8.133 0.000
Cl 3.748 1.118 1.593
Cl 3.748 1.118 5.341
Cl 4.865 4.865 3.467
Cl 5.983 8.613 1.593
Cl 5.983 8.613 5.341
Cl 6.463 1.598 0.000
Cl 8.133 6.463 0.000
Cl 8.613 3.748 1.593
Cl 8.613 3.748 5.341
```

Output
Calculated total energy   -3.347 eV/atom
Density of states at the Fermi level   32.72 states/eV/cell
Space group   P4/mbm, No. 127
Energy relative to the elements, uncorrected   -1.26 eV per atom
Crystal system   tetragonal